Below is a relaxed structure of LaScHO2, with properties calculated at the PBE-GGA level.

```
LaScHO2
1.0
3.8713 -4.1424 0.0000
3.8713 4.1424 0.0000
-3.8672 0.0000 4.1434
La Sc H O
2 2 2 4
Cartesian
1.9340 0.0000 0.0026
1.9414 0.0000 4.1409
0.0021 2.0712 2.0717
0.0021 -2.0712 2.0717
1.9377 2.0698 2.0717
1.9377 -2.0698 2.0717
3.8713 2.6003 0.0000
0.0031 0.0000 2.5990
3.8724 0.0000 1.5445
3.8713 -2.6003 0.0000
```

Energy = -7.323 eV per atom
Volume = 66 Å³/f.u.
Total magnetic moment = 0.000 μB per atom